[1]
## Y8Tm6Sc (PBE)

Data for crystalline Y8Tm6Sc at its relaxed geometry.

Energy above the lowest structure with this stoichiometry ... 0.0 kJ per mole of atoms
Energy ... -5.509 eV per atom
Crystal system ... trigonal

Cell: 9.7743 9.7743 5.6940 Å, 90.00 90.00 120.00°
Space group P-3 (No. 147)
Asymmetric unit:
Y 0.0498 0.2708 0.2338 (multiplicity 6)
Y 0.3333 0.6667 0.2358 (multiplicity 2)
Tm 0.0920 0.4718 0.7416 (multiplicity 6)
Sc 0.0000 0.0000 0.5000 (multiplicity 1)

---

[2]
## Y3Tm5Sc (PBE)

Data for crystalline Y3Tm5Sc at its relaxed geometry.

Energy above the lowest structure with this stoichiometry ... 0.0 kJ per mole of atoms
Energy ... -5.128 eV per atom
Crystal system ... monoclinic

Cell: 16.038 6.552 11.405 Å, 90.00 108.52 90.00°
Space group C2/c (No. 15)
Asymmetric unit:
Y 0.000 0.000 0.000 (multiplicity 4)
Y 0.112 0.437 0.012 (multiplicity 8)
Tm 0.000 0.323 0.250 (multiplicity 4)
Tm 0.181 0.065 0.445 (multiplicity 8)
Tm 0.210 0.299 0.763 (multiplicity 8)
Sc 0.000 0.187 0.750 (multiplicity 4)

---

[3]
## Y12Tm7Sc (PBE)

Data for crystalline Y12Tm7Sc at its relaxed geometry.

Energy above the lowest structure with this stoichiometry ... 5.4 kJ per mole of atoms
Energy ... -5.528 eV per atom
Crystal system ... trigonal

Cell: 19.2108 19.2108 6.0982 Å, 90.00 90.00 120.00°
Space group R-3 (No. 148, hexagonal axes)
Asymmetric unit:
Y 0.9997 0.4141 0.0000 (multiplicity 18)
Y 0.0997 0.5495 0.4755 (multiplicity 18)
Tm 0.0000 0.0000 0.0000 (multiplicity 3)
Tm 0.0800 0.1609 0.3076 (multiplicity 18)
Sc 0.0000 0.0000 0.5000 (multiplicity 3)

---

[4]
## YTm5Sc4 (PBE)

Data for crystalline YTm5Sc4 at its relaxed geometry.

Energy ... -5.363 eV per atom
Crystal system ... tetragonal

Cell: 3.430 3.430 23.755 Å, 90.00 90.00 90.00°
Space group P4/mmm (No. 123)
Asymmetric unit:
Y 0.000 0.000 0.000 (multiplicity 1)
Tm 0.500 0.500 0.108 (multiplicity 2)
Tm 0.500 0.500 0.304 (multiplicity 2)
Tm 0.500 0.500 0.500 (multiplicity 1)
Sc 0.000 0.000 0.206 (multiplicity 2)
Sc 0.000 0.000 0.402 (multiplicity 2)

---

[5]
## YTm2Sc2 (PBE)

Data for crystalline YTm2Sc2 at its relaxed geometry.

Energy above the lowest structure with this stoichiometry ... 1.6 kJ per mole of atoms
Energy ... -5.551 eV per atom
Crystal system ... tetragonal

Cell: 8.995 8.995 3.525 Å, 90.00 90.00 90.00°
Space group P4/mbm (No. 127)
Asymmetric unit:
Y 0.000 0.000 0.000 (multiplicity 2)
Tm 0.175 0.325 0.500 (multiplicity 4)
Sc 0.121 0.621 0.000 (multiplicity 4)

---

[6]
## Y2Tm3Sc3 (PBE)

Data for crystalline Y2Tm3Sc3 at its relaxed geometry.

Energy above the lowest structure with this stoichiometry ... 17.5 kJ per mole of atoms
Energy ... -5.432 eV per atom
Crystal system ... trigonal

Cell: 8.3856 8.3856 11.6960 Å, 90.00 90.00 120.00°
Space group R32 (No. 155, hexagonal axes)
Asymmetric unit:
Y 0.0000 0.0000 0.2481 (multiplicity 6)
Tm 0.0000 0.2389 0.0000 (multiplicity 9)
Sc 0.0000 0.7748 0.5000 (multiplicity 9)

---

[7]
## YTm2Sc4 (PBE)

Data for crystalline YTm2Sc4 at its relaxed geometry.

Energy above the lowest structure with this stoichiometry ... 3.8 kJ per mole of atoms
Energy ... -5.602 eV per atom
Crystal system ... tetragonal

Cell: 7.990 7.990 6.223 Å, 90.00 90.00 90.00°
Space group I4/mmm (No. 139)
Asymmetric unit:
Y 0.000 0.000 0.000 (multiplicity 2)
Tm 0.000 0.500 0.250 (multiplicity 4)
Sc 0.193 0.193 0.500 (multiplicity 8)

---

[8]
## Y6Tm5Sc (PBE)

Data for crystalline Y6Tm5Sc at its relaxed geometry.

Energy ... -5.584 eV per atom
Crystal system ... monoclinic

Cell: 6.088 10.533 11.639 Å, 90.00 100.02 90.00°
Space group C2/m (No. 12)
Asymmetric unit:
Y 0.248 0.166 0.248 (multiplicity 8)
Y 0.249 0.000 0.752 (multiplicity 4)
Tm 0.000 0.167 0.500 (multiplicity 4)
Tm 0.000 0.333 0.000 (multiplicity 4)
Tm 0.000 0.500 0.500 (multiplicity 2)
Sc 0.000 0.000 0.000 (multiplicity 2)

---

[9]
## Y6TmSc3 (PBE)

Data for crystalline Y6TmSc3 at its relaxed geometry.

Energy above the lowest structure with this stoichiometry ... 0.0 kJ per mole of atoms
Energy ... -6.200 eV per atom
Crystal system ... triclinic

Cell: 3.549 10.854 16.473 Å, 73.17 89.98 80.59°
Space group P-1 (No. 2)
Asymmetric unit:
Y 0.016 0.466 0.365 (multiplicity 2)
Y 0.182 0.135 0.442 (multiplicity 2)
Y 0.184 0.132 0.941 (multiplicity 2)
Y 0.383 0.731 0.242 (multiplicity 2)
Y 0.386 0.728 0.746 (multiplicity 2)
Y 0.417 0.666 0.958 (multiplicity 2)
Tm 0.217 0.067 0.660 (multiplicity 2)
Sc 0.018 0.465 0.859 (multiplicity 2)
Sc 0.217 0.065 0.159 (multiplicity 2)
Sc 0.416 0.668 0.456 (multiplicity 2)

---

[10]
## Y2Tm2Sc3 (PBE)

Data for crystalline Y2Tm2Sc3 at its relaxed geometry.

Energy above the lowest structure with this stoichiometry ... 0.0 kJ per mole of atoms
Energy ... -5.593 eV per atom
Crystal system ... cubic

Cell: 9.303 9.303 9.303 Å, 90.00 90.00 90.00°
Space group I2_13 (No. 199)
Asymmetric unit:
Y 0.159 0.341 0.659 (multiplicity 8)
Tm 0.044 0.044 0.044 (multiplicity 8)
Sc 0.000 0.250 0.305 (multiplicity 12)